(1)
{"formula": "Gd2Er3Cd3", "functional": "PBE", "state": "relaxed", "lattice": [[-3.864, -3.404, -2.036], [3.974, -5.216, 1.179], [-0.638, -2.856, 5.985]], "species": ["Er", "Er", "Cd", "Gd", "Er", "Cd", "Gd", "Cd"], "frac_coords": [[0.500, 0.670, 0.167], [0.000, 0.855, 0.855], [0.000, 0.801, 0.363], [0.000, 0.316, 0.316], [0.500, 0.167, 0.670], [0.500, 0.162, 0.162], [0.500, 0.667, 0.667], [0.000, 0.363, 0.801]], "sg": "Amm2", "total_magnetization_mub_per_cell": 0.0}



(2)
{"formula": "Gd2Er3Cd3", "functional": "PBE", "state": "relaxed", "lattice": [[-0.163, 6.600, -1.132], [-3.326, -0.798, -4.173], [-4.597, -2.551, 4.152]], "species": ["Er", "Cd", "Er", "Cd", "Cd", "Gd", "Gd", "Er"], "frac_coords": [[0.157, 0.000, 0.845], [0.156, 0.000, 0.339], [0.668, 0.000, 0.838], [0.335, 0.500, 0.156], [0.841, 0.500, 0.667], [0.338, 0.500, 0.647], [0.652, 0.000, 0.346], [0.853, 0.500, 0.162]], "sg": "Pm", "total_magnetization_mub_per_cell": 0.0}



Name the most stable of them. (2).



(1)
{"formula": "GdErCd6", "functional": "PBE", "state": "relaxed", "lattice": [[-4.101, 4.775, 1.937], [-2.330, -6.029, -1.266], [0.745, -1.284, 4.745]], "species": ["Cd", "Cd", "Er", "Cd", "Cd", "Cd", "Cd", "Gd"], "frac_coords": [[0.505, 0.010, 0.000], [0.990, 0.495, 0.000], [0.000, 0.000, 0.000], [0.505, 0.495, 0.000], [0.830, 0.660, 0.500], [0.830, 0.170, 0.500], [0.340, 0.170, 0.500], [0.333, 0.667, 0.500]], "sg": "P-6m2", "total_magnetization_mub_per_cell": 0.0}



(2)
{"formula": "GdErCd6", "functional": "PBE", "state": "relaxed", "lattice": [[5.053, 0.000, 0.000], [0.000, 5.053, 0.000], [0.000, 0.000, 7.163]], "species": ["Cd", "Cd", "Cd", "Cd", "Gd", "Cd", "Cd", "Er"], "frac_coords": [[0.500, 0.500, 0.000], [0.500, 0.000, 0.247], [0.000, 0.500, 0.753], [0.000, 0.500, 0.247], [0.500, 0.500, 0.500], [0.000, 0.000, 0.500], [0.500, 0.000, 0.753], [0.000, 0.000, 0.000]], "sg": "P4/mmm", "total_magnetization_mub_per_cell": 0.0}



Name the most stable of them. (1).



(1)
{"formula": "ErCdInTe3", "functional": "PBE", "state": "relaxed", "lattice": [[-7.641, 0.989, 3.972], [-0.161, -4.365, 0.777], [7.913, 1.091, 7.768]], "species": ["Te", "Er", "Te", "Te", "Te", "In", "Te", "Cd", "Te", "Cd", "In", "Er"], "frac_coords": [[0.442, 0.750, 0.644], [0.688, 0.250, 0.641], [0.935, 0.750, 0.639], [0.065, 0.250, 0.361], [0.260, 0.750, 0.059], [0.742, 0.750, 0.219], [0.740, 0.250, 0.941], [0.076, 0.250, 0.112], [0.558, 0.250, 0.356], [0.924, 0.750, 0.888], [0.258, 0.250, 0.781], [0.312, 0.750, 0.359]], "sg": "P2_1/m", "total_magnetization_mub_per_cell": 0.0}



(2)
{"formula": "ErCdInTe3", "functional": "PBE", "state": "relaxed", "lattice": [[4.502, 0.000, 0.000], [0.000, 13.108, 0.000], [0.000, 0.000, 13.304]], "species": ["In", "Te", "Te", "Cd", "Te", "In", "Er", "Te", "In", "Cd", "Cd", "Te", "Te", "Te", "Te", "Te", "Er", "Te", "Cd", "Er", "Te", "Er", "Te", "In"], "frac_coords": [[0.750, 0.665, 0.504], [0.750, 0.263, 0.670], [0.250, 0.737, 0.330], [0.750, 0.756, 0.197], [0.750, 0.087, 0.434], [0.250, 0.335, 0.496], [0.250, 0.469, 0.176], [0.750, 0.587, 0.066], [0.250, 0.835, 0.004], [0.750, 0.256, 0.303], [0.250, 0.244, 0.803], [0.750, 0.971, 0.158], [0.250, 0.529, 0.658], [0.250, 0.029, 0.842], [0.250, 0.913, 0.566], [0.250, 0.237, 0.170], [0.750, 0.531, 0.824], [0.750, 0.471, 0.342], [0.250, 0.744, 0.697], [0.750, 0.031, 0.676], [0.750, 0.763, 0.830], [0.250, 0.969, 0.324], [0.250, 0.413, 0.934], [0.750, 0.165, 0.996]], "sg": "Pnma", "total_magnetization_mub_per_cell": 0.0}



(3)
{"formula": "ErCdInTe3", "functional": "PBE", "state": "relaxed", "lattice": [[8.674, 0.000, 0.000], [0.000, 4.661, 0.000], [0.000, 0.000, 18.558]], "species": ["Te", "Cd", "In", "Er", "Er", "Te", "Te", "Te", "Te", "In", "Te", "In", "Te", "Cd", "Te", "Cd", "Er", "Te", "In", "Te", "Cd", "Er", "Te", "Te"], "frac_coords": [[0.994, 0.250, 0.424], [0.086, 0.750, 0.341], [0.946, 0.250, 0.199], [0.734, 0.750, 0.461], [0.266, 0.250, 0.539], [0.766, 0.250, 0.795], [0.234, 0.750, 0.205], [0.734, 0.750, 0.295], [0.006, 0.750, 0.576], [0.054, 0.750, 0.801], [0.625, 0.250, 0.559], [0.446, 0.250, 0.301], [0.125, 0.250, 0.941], [0.586, 0.750, 0.159], [0.494, 0.250, 0.076], [0.414, 0.250, 0.841], [0.766, 0.250, 0.961], [0.875, 0.750, 0.059], [0.554, 0.750, 0.699], [0.266, 0.250, 0.705], [0.914, 0.250, 0.659], [0.234, 0.750, 0.039], [0.506, 0.750, 0.924], [0.375, 0.750, 0.441]], "sg": "Pnma", "total_magnetization_mub_per_cell": 0.0}



(4)
{"formula": "ErCdInTe3", "functional": "PBE", "state": "relaxed", "lattice": [[-14.740, -2.643, -2.515], [0.909, -4.265, -0.846], [-1.493, -2.595, 11.478]], "species": ["Te", "Cd", "Te", "Cd", "Er", "Te", "Te", "Er", "Te", "Te", "Cd", "Er", "In", "Te", "Te", "Er", "Te", "Te", "Cd", "In", "In", "Te", "In", "Te"], "frac_coords": [[0.098, 0.250, 0.126], [0.021, 0.250, 0.898], [0.598, 0.250, 0.374], [0.479, 0.750, 0.398], [0.026, 0.750, 0.655], [0.898, 0.250, 0.579], [0.345, 0.750, 0.231], [0.474, 0.250, 0.155], [0.845, 0.750, 0.269], [0.102, 0.750, 0.421], [0.521, 0.250, 0.602], [0.526, 0.750, 0.845], [0.240, 0.750, 0.951], [0.902, 0.750, 0.874], [0.155, 0.250, 0.731], [0.974, 0.250, 0.345], [0.398, 0.250, 0.921], [0.602, 0.750, 0.079], [0.979, 0.750, 0.102], [0.260, 0.250, 0.451], [0.740, 0.750, 0.549], [0.402, 0.750, 0.626], [0.760, 0.250, 0.049], [0.655, 0.250, 0.769]], "sg": "Pnma", "total_magnetization_mub_per_cell": 0.0}



Name the most stable of them. (4).



(1)
{"formula": "ErCdInTe3", "functional": "PBE", "state": "relaxed", "lattice": [[-8.287, 4.016, 3.428], [-9.638, 1.910, -0.147], [0.450, -8.398, 4.776]], "species": ["Te", "Cd", "Te", "Te", "Te", "Te", "Te", "Er", "Er", "In", "In", "Cd"], "frac_coords": [[0.500, 0.500, 0.000], [0.528, 0.528, 0.720], [0.682, 0.682, 0.813], [0.000, 0.000, 0.500], [0.336, 0.336, 0.639], [0.318, 0.318, 0.187], [0.664, 0.664, 0.361], [0.824, 0.824, 0.413], [0.176, 0.176, 0.587], [0.135, 0.135, 0.075], [0.865, 0.865, 0.925], [0.472, 0.472, 0.280]], "sg": "C2/m", "total_magnetization_mub_per_cell": 0.0}



(2)
{"formula": "ErCdInTe3", "functional": "PBE", "state": "relaxed", "lattice": [[-7.179, 3.324, -0.794], [-7.305, -0.427, -3.111], [-3.659, -5.666, 9.369]], "species": ["Er", "Te", "Cd", "Te", "Cd", "Er", "Te", "Te", "In", "In", "Te", "Te"], "frac_coords": [[0.000, 0.000, 0.000], [0.083, 0.083, 0.250], [0.537, 0.537, 0.750], [0.639, 0.639, 0.953], [0.463, 0.463, 0.250], [0.000, 0.000, 0.500], [0.361, 0.361, 0.047], [0.361, 0.361, 0.453], [0.759, 0.759, 0.250], [0.241, 0.241, 0.750], [0.639, 0.639, 0.547], [0.917, 0.917, 0.750]], "sg": "Cmcm", "total_magnetization_mub_per_cell": 0.0}



Name the most stable of them. (2).